MnBe2AsO6 after structural relaxation. Source: the Alexandria database, functional GGA+U.

E_tot: -133.6 eV for the cell shown
space-group type: No. 15

abc: 5.1910 6.3721 6.3721
angles: 79.42 71.59 71.59
Last column: magnetic moment on the atom in μB.
Atoms (fractional coordinates):
O  0.1319  0.6399  0.1620  0.00
Mn  0.7500  0.0955  0.9045  2.02
Be  0.8405  0.6280  0.7739  0.00
O  0.6749  0.7932  0.9785  -0.04
O  0.8139  0.4210  0.2827  0.00
Be  0.3405  0.7739  0.6280  0.00
O  0.3681  0.8380  0.3601  0.00
O  0.6861  0.7173  0.5790  0.00
O  0.3251  0.2068  0.0215  -0.04
O  0.3139  0.2827  0.4210  0.00
Be  0.6595  0.2261  0.3720  0.00
O  0.1749  0.9785  0.7932  -0.04
O  0.6319  0.1620  0.6399  0.00
As  0.7500  0.7201  0.2799  0.01
O  0.1861  0.5790  0.7173  0.00
O  0.8681  0.3601  0.8380  0.00
As  0.2500  0.2799  0.7201  0.01
Be  0.1595  0.3720  0.2261  0.00
Mn  0.2500  0.9045  0.0955  2.02
O  0.8251  0.0215  0.2068  -0.04